# Tb3Pm2DyS6

An optimized crystal structure of Tb3Pm2DyS6 (PBE, Alexandria via LeMat-Bulk).

Unit cell a=8.844 b=8.844 c=7.958 alpha=103.13 beta=103.13 gamma=25.78
Sites, in units of the cell vectors:
Tb 0.000 0.000 0.000
Tb 0.332 0.332 0.667
Tb 0.668 0.668 0.333
Pm 0.333 0.333 0.165
Pm 0.667 0.667 0.835
Dy 0.000 0.000 0.500
S 0.164 0.164 0.089
S 0.165 0.165 0.576
S 0.497 0.497 0.747
S 0.503 0.503 0.253
S 0.835 0.835 0.424
S 0.836 0.836 0.911

Results
**Energy relative to the elements, uncorrected**: -2.015 eV per atom
**Spin magnetization**: 0.00 μB/f.u.
**Space-group type**: C2/m